1.
# YCoB4 PBE relaxed
data_YCoB4
_symmetry_space_group_name_H-M 'I m m m'
_symmetry_Int_Tables_number 71
_symmetry_space_group_name_Hall '-I 2 2'
_cell_length_a 3.150
_cell_length_b 5.301
_cell_length_c 7.206
_cell_angle_alpha 90.00
_cell_angle_beta 90.00
_cell_angle_gamma 90.00
loop_
_atom_site_label
_atom_site_type_symbol
_atom_site_fract_x
_atom_site_fract_y
_atom_site_fract_z
_atom_site_occupancy
Y1 Y 0.000 0.000 0.000 1
Co1 Co 0.000 0.000 0.500 1
B1 B 0.000 0.333 0.249 1
# Distance to the lowest polymorph of the same formula: 0.448 eV per atom
# Calculated volume: 120 Å³ per cell
# Magnetic moment: 2.44 Bohr magnetons per cell

---

2.
# Y2Co14B PBE relaxed
data_Y2Co14B
_symmetry_space_group_name_H-M 'P 42/m n m'
_symmetry_Int_Tables_number 136
_symmetry_space_group_name_Hall '-P 4n 2n'
_cell_length_a 8.554
_cell_length_b 8.554
_cell_length_c 11.634
_cell_angle_alpha 90.00
_cell_angle_beta 90.00
_cell_angle_gamma 90.00
loop_
_atom_site_label
_atom_site_type_symbol
_atom_site_fract_x
_atom_site_fract_y
_atom_site_fract_z
_atom_site_occupancy
Y1 Y 0.146 0.146 0.000 1
Y2 Y 0.224 0.224 0.500 1
Co1 Co 0.000 0.000 0.382 1
Co2 Co 0.000 0.500 0.000 1
Co3 Co 0.037 0.640 0.178 1
Co4 Co 0.069 0.725 0.373 1
Co5 Co 0.098 0.902 0.201 1
Co6 Co 0.182 0.182 0.253 1
B1 B 0.122 0.878 0.500 1
# E: -7.172 eV per atom
# Calculated volume: 851 Å³ per cell
# Magnetic moment: 73.13 Bohr magnetons per cell

---

3.
# YCo4B PBE relaxed
data_YCo4B
_symmetry_space_group_name_H-M 'P 6/m m m'
_symmetry_Int_Tables_number 191
_symmetry_space_group_name_Hall '-P 6 2'
_cell_length_a 5.0130
_cell_length_b 5.0130
_cell_length_c 6.8182
_cell_angle_alpha 90.00
_cell_angle_beta 90.00
_cell_angle_gamma 120.00
loop_
_atom_site_label
_atom_site_type_symbol
_atom_site_fract_x
_atom_site_fract_y
_atom_site_fract_z
_atom_site_occupancy
Y1 Y 0.0000 0.0000 0.0000 1
Y2 Y 0.0000 0.0000 0.5000 1
Co1 Co 0.0000 0.5000 0.2115 1
Co2 Co 0.3333 0.6667 0.5000 1
B1 B 0.3333 0.6667 0.0000 1
# E: -7.176 eV per atom
# Calculated volume: 148 Å³ per cell
# Magnetic moment: 0.05 Bohr magnetons per cell

---

4.
# Y2Co14B PBE relaxed
data_Y2Co14B
_symmetry_space_group_name_H-M 'P 42/m n m'
_symmetry_Int_Tables_number 136
_symmetry_space_group_name_Hall '-P 4n 2n'
_cell_length_a 8.559
_cell_length_b 8.559
_cell_length_c 11.654
_cell_angle_alpha 90.00
_cell_angle_beta 90.00
_cell_angle_gamma 90.00
loop_
_atom_site_label
_atom_site_type_symbol
_atom_site_fract_x
_atom_site_fract_y
_atom_site_fract_z
_atom_site_occupancy
Y1 Y 0.146 0.146 0.000 1
Y2 Y 0.224 0.224 0.500 1
Co1 Co 0.000 0.000 0.382 1
Co2 Co 0.000 0.500 0.000 1
Co3 Co 0.037 0.641 0.177 1
Co4 Co 0.069 0.724 0.373 1
Co5 Co 0.098 0.902 0.201 1
Co6 Co 0.182 0.182 0.253 1
B1 B 0.122 0.878 0.500 1
# E: -7.172 eV per atom
# Calculated volume: 854 Å³ per cell
# Magnetic moment: 73.24 Bohr magnetons per cell

---

5.
# Y2CoB PBE relaxed
data_Y2CoB
_symmetry_space_group_name_H-M 'F -4 3 m'
_symmetry_Int_Tables_number 216
_symmetry_space_group_name_Hall 'F -4 2 3'
_cell_length_a 6.362
_cell_length_b 6.362
_cell_length_c 6.362
_cell_angle_alpha 90.00
_cell_angle_beta 90.00
_cell_angle_gamma 90.00
loop_
_atom_site_label
_atom_site_type_symbol
_atom_site_fract_x
_atom_site_fract_y
_atom_site_fract_z
_atom_site_occupancy
Y1 Y 0.000 0.000 0.000 1
Y2 Y 0.250 0.250 0.250 1
Co1 Co 0.250 0.250 0.750 1
B1 B 0.000 0.000 0.500 1
# E: -6.199 eV per atom
# Calculated volume: 257 Å³ per cell
# Magnetic moment: 0.00 Bohr magnetons per cell

---

6.
# YCo3B2 PBE relaxed
data_YCo3B2
_symmetry_space_group_name_H-M 'P 6/m m m'
_symmetry_Int_Tables_number 191
_symmetry_space_group_name_Hall '-P 6 2'
_cell_length_a 5.0099
_cell_length_b 5.0099
_cell_length_c 3.0225
_cell_angle_alpha 90.00
_cell_angle_beta 90.00
_cell_angle_gamma 120.00
loop_
_atom_site_label
_atom_site_type_symbol
_atom_site_fract_x
_atom_site_fract_y
_atom_site_fract_z
_atom_site_occupancy
Y1 Y 0.0000 0.0000 0.0000 1
Co1 Co 0.0000 0.5000 0.5000 1
B1 B 0.3333 0.6667 0.0000 1
# E: -7.338 eV per atom
# Calculated volume: 66 Å³ per cell
# Magnetic moment: 0.01 Bohr magnetons per cell

---

7.
# Y2Co7B3 PBE relaxed
data_Y2Co7B3
_symmetry_space_group_name_H-M 'P 6/m m m'
_symmetry_Int_Tables_number 191
_symmetry_space_group_name_Hall '-P 6 2'
_cell_length_a 5.0257
_cell_length_b 5.0257
_cell_length_c 12.7828
_cell_angle_alpha 90.00
_cell_angle_beta 90.00
_cell_angle_gamma 120.00
loop_
_atom_site_label
_atom_site_type_symbol
_atom_site_fract_x
_atom_site_fract_y
_atom_site_fract_z
_atom_site_occupancy
Y1 Y 0.0000 0.0000 0.0000 1
Y2 Y 0.0000 0.0000 0.2396 1
Y3 Y 0.0000 0.0000 0.5000 1
Co1 Co 0.0000 0.5000 0.1155 1
Co2 Co 0.0000 0.5000 0.3457 1
Co3 Co 0.3333 0.6667 0.5000 1
B1 B 0.3333 0.6667 0.0000 1
B2 B 0.3333 0.6667 0.2314 1
# E: -7.282 eV per atom
# Calculated volume: 280 Å³ per cell
# Magnetic moment: 6.93 Bohr magnetons per cell

---

8.
# Y4Co3B6 PBE relaxed
data_Y4Co3B6
_symmetry_space_group_name_H-M 'R -3 m'
_symmetry_Int_Tables_number 166
_symmetry_space_group_name_Hall '-R 3 2"'
_cell_length_a 5.3168
_cell_length_b 5.3168
_cell_length_c 21.9612
_cell_angle_alpha 90.00
_cell_angle_beta 90.00
_cell_angle_gamma 120.00
loop_
_atom_site_label
_atom_site_type_symbol
_atom_site_fract_x
_atom_site_fract_y
_atom_site_fract_z
_atom_site_occupancy
Y1 Y 0.0000 0.0000 0.0890 1
Y2 Y 0.0000 0.0000 0.2445 1
Co1 Co 0.0000 0.0000 0.3872 1
Co2 Co 0.0000 0.0000 0.5000 1
B1 B 0.0000 0.3321 0.0000 1
# E: -7.056 eV per atom
# Calculated volume: 538 Å³ per cell
# Magnetic moment: 0.75 Bohr magnetons per cell

---

9.
# Y2CoB6 PBE relaxed
data_Y2CoB6
_symmetry_space_group_name_H-M 'P b a m'
_symmetry_Int_Tables_number 55
_cell_length_a 9.107
_cell_length_b 11.464
_cell_length_c 3.584
_cell_angle_alpha 90.00
_cell_angle_beta 90.00
_cell_angle_gamma 90.00
loop_
_symmetry_equiv_pos_as_xyz
'x,y,z'
'-x,-y,-z'
'-x,-y,z'
'x,y,-z'
'x+1/2,-y+1/2,-z'
'-x+1/2,y+1/2,z'
'-x+1/2,y+1/2,-z'
'x+1/2,-y+1/2,z'
loop_
_atom_site_label
_atom_site_type_symbol
_atom_site_fract_x
_atom_site_fract_y
_atom_site_fract_z
_atom_site_occupancy
Y1 Y 0.057 0.129 0.000 1
Y2 Y 0.175 0.415 0.000 1
Co1 Co 0.139 0.679 0.000 1
B1 B 0.013 0.289 0.500 1
B2 B 0.053 0.567 0.500 1
B3 B 0.109 0.970 0.500 1
B4 B 0.134 0.815 0.500 1
B5 B 0.210 0.235 0.500 1
B6 B 0.246 0.582 0.500 1
# E: -7.241 eV per atom
# Calculated volume: 374 Å³ per cell
# Magnetic moment: 3.64 Bohr magnetons per cell

---

10.
# YCoB4 PBE relaxed
data_YCoB4
_symmetry_space_group_name_H-M 'P b a m'
_symmetry_Int_Tables_number 55
_cell_length_a 5.892
_cell_length_b 11.415
_cell_length_c 3.382
_cell_angle_alpha 90.00
_cell_angle_beta 90.00
_cell_angle_gamma 90.00
loop_
_symmetry_equiv_pos_as_xyz
'x,y,z'
'-x,-y,-z'
'-x,-y,z'
'x,y,-z'
'x+1/2,-y+1/2,-z'
'-x+1/2,y+1/2,z'
'-x+1/2,y+1/2,-z'
'x+1/2,-y+1/2,z'
loop_
_atom_site_label
_atom_site_type_symbol
_atom_site_fract_x
_atom_site_fract_y
_atom_site_fract_z
_atom_site_occupancy
Y1 Y 0.128 0.150 0.000 1
Co1 Co 0.135 0.411 0.000 1
B1 B 0.023 0.691 0.500 1
B2 B 0.111 0.546 0.500 1
B3 B 0.139 0.968 0.500 1
B4 B 0.217 0.816 0.500 1
# Distance to the lowest polymorph of the same formula: 0.000 eV per atom
# Calculated volume: 227 Å³ per cell
# Magnetic moment: 0.02 Bohr magnetons per cell

---

11.
# YZrCoB PBE relaxed
data_YZrCoB
_symmetry_space_group_name_H-M 'F -4 3 m'
_symmetry_Int_Tables_number 216
_symmetry_space_group_name_Hall 'F -4 2 3'
_cell_length_a 6.317
_cell_length_b 6.317
_cell_length_c 6.317
_cell_angle_alpha 90.00
_cell_angle_beta 90.00
_cell_angle_gamma 90.00
loop_
_atom_site_label
_atom_site_type_symbol
_atom_site_fract_x
_atom_site_fract_y
_atom_site_fract_z
_atom_site_occupancy
Y1 Y 0.000 0.000 0.000 1
Zr1 Zr 0.250 0.250 0.750 1
Co1 Co 0.000 0.000 0.500 1
B1 B 0.250 0.250 0.250 1
# Distance to the lowest polymorph of the same formula: 0.000 eV per atom
# Calculated volume: 252 Å³ per cell
# Magnetic moment: 0.02 Bohr magnetons per cell

---

12.
# ZnCoB2 PBE relaxed
data_ZnCoB2
_symmetry_space_group_name_H-M 'F -4 3 m'
_symmetry_Int_Tables_number 216
_symmetry_space_group_name_Hall 'F -4 2 3'
_cell_length_a 5.259
_cell_length_b 5.259
_cell_length_c 5.259
_cell_angle_alpha 90.00
_cell_angle_beta 90.00
_cell_angle_gamma 90.00
loop_
_atom_site_label
_atom_site_type_symbol
_atom_site_fract_x
_atom_site_fract_y
_atom_site_fract_z
_atom_site_occupancy
Zn1 Zn 0.000 0.000 0.000 1
Co1 Co 0.250 0.250 0.250 1
B1 B 0.000 0.000 0.500 1
B2 B 0.250 0.250 0.750 1
# E: -4.418 eV per atom
# Calculated volume: 145 Å³ per cell
# Magnetic moment: 0.16 Bohr magnetons per cell

---

13.
# ZnCoB4 PBE relaxed
data_ZnCoB4
_symmetry_space_group_name_H-M 'P 6/m m m'
_symmetry_Int_Tables_number 191
_symmetry_space_group_name_Hall '-P 6 2'
_cell_length_a 2.9871
_cell_length_b 2.9871
_cell_length_c 6.5669
_cell_angle_alpha 90.00
_cell_angle_beta 90.00
_cell_angle_gamma 120.00
loop_
_atom_site_label
_atom_site_type_symbol
_atom_site_fract_x
_atom_site_fract_y
_atom_site_fract_z
_atom_site_occupancy
Zn1 Zn 0.0000 0.0000 0.0000 1
Co1 Co 0.0000 0.0000 0.5000 1
B1 B 0.3333 0.6667 0.2784 1
# Distance to the lowest polymorph of the same formula: 0.000 eV per atom
# Calculated volume: 51 Å³ per cell
# Magnetic moment: 0.00 Bohr magnetons per cell

---

14.
# ZnCoB4 PBE relaxed
data_ZnCoB4
_symmetry_space_group_name_H-M 'I m m m'
_symmetry_Int_Tables_number 71
_symmetry_space_group_name_Hall '-I 2 2'
_cell_length_a 2.958
_cell_length_b 5.213
_cell_length_c 6.562
_cell_angle_alpha 90.00
_cell_angle_beta 90.00
_cell_angle_gamma 90.00
loop_
_atom_site_label
_atom_site_type_symbol
_atom_site_fract_x
_atom_site_fract_y
_atom_site_fract_z
_atom_site_occupancy
Zn1 Zn 0.000 0.000 0.000 1
Co1 Co 0.000 0.000 0.500 1
B1 B 0.000 0.338 0.249 1
# Distance to the lowest polymorph of the same formula: 0.018 eV per atom
# Calculated volume: 101 Å³ per cell
# Magnetic moment: 2.60 Bohr magnetons per cell

---

15.
# ZnCoB PBE relaxed
data_ZnCoB
_symmetry_space_group_name_H-M 'F -4 3 m'
_symmetry_Int_Tables_number 216
_symmetry_space_group_name_Hall 'F -4 2 3'
_cell_length_a 5.181
_cell_length_b 5.181
_cell_length_c 5.181
_cell_angle_alpha 90.00
_cell_angle_beta 90.00
_cell_angle_gamma 90.00
loop_
_atom_site_label
_atom_site_type_symbol
_atom_site_fract_x
_atom_site_fract_y
_atom_site_fract_z
_atom_site_occupancy
Zn1 Zn 0.000 0.000 0.000 1
Co1 Co 0.250 0.250 0.750 1
B1 B 0.000 0.000 0.500 1
# E: -4.417 eV per atom
# Calculated volume: 139 Å³ per cell
# Magnetic moment: 0.03 Bohr magnetons per cell

---

16.
# ZrZnCoB PBE relaxed
data_ZrZnCoB
_symmetry_space_group_name_H-M 'F -4 3 m'
_symmetry_Int_Tables_number 216
_symmetry_space_group_name_Hall 'F -4 2 3'
_cell_length_a 5.904
_cell_length_b 5.904
_cell_length_c 5.904
_cell_angle_alpha 90.00
_cell_angle_beta 90.00
_cell_angle_gamma 90.00
loop_
_atom_site_label
_atom_site_type_symbol
_atom_site_fract_x
_atom_site_fract_y
_atom_site_fract_z
_atom_site_occupancy
Zr1 Zr 0.000 0.000 0.000 1
Zn1 Zn 0.250 0.250 0.250 1
Co1 Co 0.250 0.250 0.750 1
B1 B 0.000 0.000 0.500 1
# Distance to the lowest polymorph of the same formula: 0.175 eV per atom
# Calculated volume: 206 Å³ per cell
# Magnetic moment: 0.01 Bohr magnetons per cell

---

17.
# ZrZnCoB PBE relaxed
data_ZrZnCoB
_symmetry_space_group_name_H-M 'F -4 3 m'
_symmetry_Int_Tables_number 216
_symmetry_space_group_name_Hall 'F -4 2 3'
_cell_length_a 5.892
_cell_length_b 5.892
_cell_length_c 5.892
_cell_angle_alpha 90.00
_cell_angle_beta 90.00
_cell_angle_gamma 90.00
loop_
_atom_site_label
_atom_site_type_symbol
_atom_site_fract_x
_atom_site_fract_y
_atom_site_fract_z
_atom_site_occupancy
Zr1 Zr 0.000 0.000 0.000 1
Zn1 Zn 0.250 0.250 0.750 1
Co1 Co 0.000 0.000 0.500 1
B1 B 0.250 0.250 0.250 1
# Distance to the lowest polymorph of the same formula: 0.000 eV per atom
# Calculated volume: 205 Å³ per cell
# Magnetic moment: 0.58 Bohr magnetons per cell